No. 1
# GGA-PBE CaGdGe4, relaxed
# Total energy ... -6.1197 eV per atom
# Theoretical density ... 6.3 Mg/m³
data_CaGdGe4
_cell_length_a 8.033
_cell_length_b 8.033
_cell_length_c 8.033
_cell_angle_alpha 90.00
_cell_angle_beta 90.00
_cell_angle_gamma 90.00
_symmetry_space_group_name_H-M 'F -4 3 m'
_symmetry_Int_Tables_number 216
_symmetry_space_group_name_Hall 'F -4 2 3'
loop_
_atom_site_label
_atom_site_type_symbol
_atom_site_fract_x
_atom_site_fract_y
_atom_site_fract_z
_atom_site_occupancy
Ca1 Ca 0.000 0.000 0.000 1
Gd1 Gd 0.250 0.250 0.250 1
Ge1 Ge 0.125 0.125 0.625 1



No. 2
# GGA-PBE Pu3Ta4N12, relaxed
# Total energy ... -10.8659 eV per atom
# Uncorrected formation energy ... -850 meV/atom
# Theoretical density ... 10.9 Mg/m³
data_Pu3Ta4N12
_cell_length_a 7.915
_cell_length_b 7.915
_cell_length_c 7.915
_cell_angle_alpha 90.00
_cell_angle_beta 90.00
_cell_angle_gamma 90.00
_symmetry_space_group_name_H-M 'I m -3'
_symmetry_Int_Tables_number 204
_symmetry_space_group_name_Hall '-I 2 2 3'
loop_
_atom_site_label
_atom_site_type_symbol
_atom_site_fract_x
_atom_site_fract_y
_atom_site_fract_z
_atom_site_occupancy
Pu1 Pu 0.000 0.000 0.500 1
Ta1 Ta 0.250 0.250 0.250 1
N1 N 0.000 0.198 0.312 1